VASP calculation (PBE) on GaRuPt2Au after structural relaxation.

a b c (Å): 4.623 4.623 4.721
angles (deg): 90.00 90.00 90.00
Space group P4/mmm (No. 123)
Unique sites:
Ga 0.000 0.000 0.000
Ru 0.500 0.500 0.500
Pt 0.000 0.500 0.000
Au 0.000 0.000 0.500

## Properties
* raw total energy: -22.81 eV/cell
* energy of formation: 971 meV/atom
* mass density: 12.472 g/cm3